Record 1
Li2FeRh: relaxed, GGA-PBE.

Computed properties:
size of the total moment	0.7220	μB per atom
formation enthalpy at 0 K	-0.020	eV per atom
symmetry	No. 47

Cell lengths 2.8814, 4.1558, 4.3824 Å; angles 90.00, 90.00, 90.00 degrees
Last column: nearest neighbours and their distance in Å.
Element x y z (fractional)
Fe (0.0000, 0.5000, 0.5000)  4 Rh 2.53, 4 Li 2.62
Li (0.0000, 0.0000, 0.0000)  4 Li 2.53, 4 Rh 2.62
Li (0.5000, 0.5000, 0.0000)  4 Li 2.53, 4 Fe 2.62
Rh (0.5000, 0.0000, 0.5000)  4 Fe 2.53, 4 Li 2.62

---

Record 2
CsSiOF2: relaxed, GGA-PBE.

Computed properties:
size of the total moment	0.0103	μB per atom
offset from the most stable computed form	1967	meV per atom
symmetry	No. 123
energy relative to the elements, uncorrected	-0.0535	eV per atom

Cell lengths 5.1244, 5.1244, 4.5960 Å; angles 90.00, 90.00, 90.00 degrees
Last column: nearest neighbours and their distance in Å.
Element x y z (fractional)
F (0.0000, 0.5000, 0.0000)  2 Cs 2.56
F (0.5000, 0.0000, 0.0000)  2 Cs 2.56
Cs (0.0000, 0.0000, 0.0000)  2 O 2.30, 4 F 2.56
O (0.0000, 0.0000, 0.5000)  2 Cs 2.30
Si (0.5000, 0.5000, 0.5000)  8 F 3.44, 4 O 3.62

---

Record 3
HoTm5Sc: relaxed, GGA-PBE.

Computed properties:
size of the total moment	0.0000	μB per atom
offset from the most stable computed form	910	meV per atom
formation enthalpy at 0 K	0.975	eV per atom
symmetry	No. 44

Cell lengths 5.9784, 7.8048, 7.5211 Å; angles 121.26, 113.42, 90.00 degrees
Last column: nearest neighbours and their distance in Å.
Element x y z (fractional)
Tm (0.0703, 0.1833, 0.0000)  2 Tm 2.86-3.03, 1 Sc 2.86
Tm (0.0703, 0.8167, 0.0000)  2 Tm 2.86-3.03, 1 Sc 2.86
Tm (0.0556, 0.7468, 0.4936)  1 Sc 2.81
Tm (0.3636, 0.5000, 0.0000)  1 Sc 2.78, 2 Tm 3.03
Tm (0.5620, 0.2532, 0.5064)  1 Sc 2.81
Ho (0.5800, 0.0000, 0.0000)  6 Tm 3.26-3.37
Sc (0.8290, 0.5000, 0.0000)  5 Tm 2.78-2.86

---

Record 4
Ta5Mn4Nb: relaxed, GGA-PBE.

Computed properties:
size of the total moment	0.0000	μB per atom
formation enthalpy at 0 K	-0.174	eV per atom
symmetry	No. 123

Cell lengths 3.0860, 3.0860, 15.9517 Å; angles 90.00, 90.00, 90.00 degrees
Last column: nearest neighbours and their distance in Å.
Element x y z (fractional)
Nb (0.0000, 0.0000, 0.0000)  8 Ta 2.88, 4 Nb 3.09
Mn (0.0000, 0.0000, 0.4041)  8 Ta 2.66
Mn (0.0000, 0.0000, 0.2122)  8 Ta 2.65-2.67
Mn (0.0000, 0.0000, 0.5959)  8 Ta 2.66
Mn (0.0000, 0.0000, 0.7878)  8 Ta 2.65-2.67
Ta (0.5000, 0.5000, 0.5000)  8 Mn 2.66
Ta (0.5000, 0.5000, 0.3092)  8 Mn 2.66-2.67
Ta (0.5000, 0.5000, 0.6908)  8 Mn 2.66-2.67
Ta (0.5000, 0.5000, 0.8822)  4 Mn 2.65, 4 Nb 2.88
Ta (0.5000, 0.5000, 0.1178)  4 Mn 2.65, 4 Nb 2.88

---

Record 5
LiPm2ThS5: relaxed, GGA-PBE.

Computed properties:
size of the total moment	0.0000	μB per atom
symmetry	No. 36
energy relative to the elements, uncorrected	-1.8486	eV per atom

Cell lengths 3.9600, 8.5688, 12.0911 Å; angles 90.00, 90.00, 103.36 degrees
Last column: nearest neighbours and their distance in Å.
Element x y z (fractional)
S (0.4999, 0.9999, 0.2849)  1 Li 2.35
S (0.0425, 0.0850, 0.0701)  2 Li 2.34
S (0.6897, 0.3793, 0.8367)  2 Th 2.81, 2 Pm 2.98
S (0.3616, 0.7232, 0.0004)  1 Li 2.46
S (0.5001, 0.0001, 0.7849)  1 Li 2.35
S (0.7083, 0.4167, 0.1674)  2 Th 2.83, 3 Pm 2.90-3.02
S (0.9575, 0.9150, 0.5701)  2 Li 2.34
S (0.3103, 0.6207, 0.3367)  2 Th 2.81, 2 Pm 2.98
S (0.6384, 0.2768, 0.5004)  1 Li 2.46
S (0.2917, 0.5833, 0.6674)  2 Th 2.83, 3 Pm 2.90-3.02
Th (0.1949, 0.3899, 0.0012)  6 S 2.67-2.83
Th (0.8051, 0.6101, 0.5012)  6 S 2.67-2.83
Li (0.4920, 0.9839, 0.4790)  4 S 2.34-2.46
Li (0.5080, 0.0161, 0.9790)  4 S 2.34-2.46
Pm (0.1111, 0.2222, 0.6872)  8 S 2.93-3.04
Pm (0.8889, 0.7778, 0.1872)  8 S 2.93-3.04
Pm (0.1231, 0.2462, 0.2970)  8 S 2.86-3.17
Pm (0.8769, 0.7538, 0.7970)  8 S 2.86-3.17

---

Record 6
Li2Ga3Cu7: relaxed, GGA-PBE.

Computed properties:
size of the total moment	0.0000	μB per atom
formation enthalpy at 0 K	-0.161	eV per atom
symmetry	No. 12

Cell lengths 4.2312, 4.2309, 9.0996 Å; angles 104.21, 104.20, 86.27 degrees
Last column: nearest neighbours and their distance in Å.
Element x y z (fractional)
Cu (0.4171, 0.9174, 0.8338)  3 Cu 2.55-2.85, 4 Ga 2.55-2.56, 2 Li 2.56-2.57
Cu (0.0827, 0.5830, 0.1662)  3 Cu 2.55-2.85, 4 Ga 2.55-2.56, 2 Li 2.56-2.57
Cu (0.9173, 0.4170, 0.8338)  3 Cu 2.55-2.85, 4 Ga 2.55-2.56, 2 Li 2.56-2.57
Cu (0.7508, 0.2491, 0.5000)  4 Li 2.54, 4 Ga 2.55-2.56
Cu (0.5829, 0.0826, 0.1662)  3 Cu 2.55-2.85, 4 Ga 2.55-2.56, 2 Li 2.56-2.57
Cu (0.2492, 0.7509, 0.5000)  4 Li 2.54, 4 Ga 2.55-2.56
Cu (0.0000, 0.0000, 0.0000)  8 Cu 2.55, 2 Ga 2.85
Li (0.3327, 0.3327, 0.6642)  8 Cu 2.54-2.57, 1 Ga 2.84
Li (0.6673, 0.6673, 0.3358)  8 Cu 2.54-2.57, 1 Ga 2.84
Ga (0.5000, 0.5000, 0.0000)  8 Cu 2.55
Ga (0.1666, 0.1667, 0.3329)  9 Cu 2.55-2.85, 1 Li 2.84
Ga (0.8334, 0.8333, 0.6671)  9 Cu 2.55-2.85, 1 Li 2.84

---

Record 7
InGaAu2Se4: relaxed, GGA-PBE.

Computed properties:
size of the total moment	0.0000	μB per atom
symmetry	No. 82
energy relative to the elements, uncorrected	-0.3206	eV per atom

Cell lengths 6.0476, 6.0479, 7.2978 Å; angles 114.48, 114.48, 90.00 degrees
Last column: nearest neighbours and their distance in Å.
Element x y z (fractional)
Se (0.3806, 0.8579, 0.2338)  1 Ga 2.48, 2 Au 2.63-2.64, 1 In 2.66
Se (0.8532, 0.3758, 0.2340)  1 Ga 2.48, 2 Au 2.63-2.64, 1 In 2.66
Se (0.0960, 0.0912, 0.7096)  1 Ga 2.48, 2 Au 2.63-2.64, 1 In 2.66
Se (0.6136, 0.6186, 0.7097)  1 Ga 2.48, 2 Au 2.63-2.64, 1 In 2.66
In (0.9858, 0.4858, 0.9718)  4 Se 2.66
Ga (0.7359, 0.7360, 0.4720)  4 Se 2.48
Au (0.2360, 0.2357, 0.4714)  4 Se 2.64
Au (0.4859, 0.9861, 0.9718)  4 Se 2.63

---

Record 8
Tm4CoNi: relaxed, GGA-PBE.

Computed properties:
size of the total moment	0.0000	μB per atom
offset from the most stable computed form	9	meV per atom
formation enthalpy at 0 K	-0.177	eV per atom
symmetry	No. 109

Cell lengths 7.4164, 7.4164, 7.4164 Å; angles 105.74, 105.74, 117.21 degrees
Last column: nearest neighbours and their distance in Å.
Element x y z (fractional)
Tm (0.3041, 0.5043, 0.7998)  1 Co 2.62, 2 Ni 2.67-2.68
Tm (0.7914, 0.9958, 0.7956)  2 Co 2.63-2.65, 1 Ni 2.68
Tm (0.7458, 0.0414, 0.2956)  2 Co 2.63-2.65, 1 Ni 2.68
Tm (0.2543, 0.5541, 0.2998)  1 Co 2.62, 2 Ni 2.67-2.68
Tm (0.7045, 0.5043, 0.2002)  1 Co 2.62, 2 Ni 2.67-2.68
Tm (0.7458, 0.4502, 0.7044)  2 Co 2.63-2.65, 1 Ni 2.68
Tm (0.2002, 0.9958, 0.2044)  2 Co 2.63-2.65, 1 Ni 2.68
Tm (0.2543, 0.9545, 0.7002)  1 Co 2.62, 2 Ni 2.67-2.68
Ni (0.9984, 0.4984, 0.5000)  6 Tm 2.67-2.68
Ni (0.2484, 0.2484, 0.0000)  6 Tm 2.67-2.68
Co (0.5013, 0.0013, 0.5000)  6 Tm 2.62-2.65
Co (0.7513, 0.7513, 0.0000)  6 Tm 2.62-2.65

---

Question: Number 5 is which compound?
Answer: LiPm2ThS5

---

Question: Look up the size of the total moment of the sixth one.
Answer: 0.0000 μB per atom